PuGe2: optimized geometry, PBE.

Cell lengths 4.033, 4.033, 8.478 Å; angles 103.76, 103.76, 90.00 degrees
Site moments in Bohr magnetons follow the coordinates.
Fractional coordinates of all 6 atoms:
1 Ge 0.830 0.330 0.660  -0.04
2 Pu 0.000 0.000 0.000  5.27
3 Ge 0.580 0.580 0.160  -0.03
4 Pu 0.250 0.750 0.500  5.28
5 Ge 0.420 0.420 0.840  -0.04
6 Ge 0.670 0.170 0.340  -0.03

Summary:
Theoretical density (Mg/m³): 9.96
Electronic total energy (eV/atom): -8.167
Total magnetic moment (Bohr magnetons per cell): 10.98
Calculated volume (Å³/f.u.): 65